{
  "formula": "TlCoSb3",
  "functional": "GGA-PBE",
  "state": "relaxed",
  "space_group": "No. 221",
  "relative_energy_ev_per_atom": 0.000,
  "e_form_raw_ev_per_atom": 0.291,
  "e_tot_ev_per_atom": -4.08,
  "lattice_angstrom": [[5.064, 0.000, 0.000], [0.000, 5.064, 0.000], [0.000, 0.000, 5.064]],
  "species": ["Tl", "Co", "Sb", "Sb", "Sb"],
  "frac_coords": [[0.000, 0.000, 0.000], [0.500, 0.500, 0.500], [0.000, 0.500, 0.500], [0.500, 0.000, 0.500], [0.500, 0.500, 0.000]]
}

***

{
  "formula": "MgB2Pd2",
  "functional": "GGA-PBE",
  "state": "relaxed",
  "space_group": "No. 127",
  "relative_energy_ev_per_atom": 0.311,
  "e_tot_ev_per_atom": -4.79,
  "formation_enthalpy_0k_ev_per_atom": 0.280,
  "lattice_angstrom": [[6.561, 0.000, 0.000], [0.000, 6.561, 0.000], [0.000, 0.000, 2.801]],
  "species": ["Mg", "Mg", "B", "B", "B", "B", "Pd", "Pd", "Pd", "Pd"],
  "frac_coords": [[0.000, 0.000, 0.000], [0.500, 0.500, 0.000], [0.145, 0.355, 0.500], [0.355, 0.855, 0.500], [0.645, 0.145, 0.500], [0.855, 0.645, 0.500], [0.147, 0.647, 0.000], [0.353, 0.147, 0.000], [0.647, 0.853, 0.000], [0.853, 0.353, 0.000]]
}

***

{
  "formula": "Cu6Pb",
  "functional": "GGA-PBE",
  "state": "relaxed",
  "space_group": "No. 229",
  "e_tot_ev_per_atom": -3.36,
  "formation_enthalpy_0k_ev_per_atom": 0.685,
  "lattice_angstrom": [[-3.242, 3.242, 3.242], [3.242, -3.242, 3.242], [3.242, 3.242, -3.242]],
  "species": ["Cu", "Cu", "Cu", "Cu", "Cu", "Cu", "Pb"],
  "frac_coords": [[0.250, 0.500, 0.750], [0.250, 0.750, 0.500], [0.500, 0.250, 0.750], [0.500, 0.750, 0.250], [0.750, 0.250, 0.500], [0.750, 0.500, 0.250], [0.000, 0.000, 0.000]]
}

***

{
  "formula": "AcTmMg4",
  "functional": "GGA-PBE",
  "state": "relaxed",
  "space_group": "No. 216",
  "e_tot_ev_per_atom": -2.57,
  "formation_enthalpy_0k_ev_per_atom": -0.073,
  "lattice_angstrom": [[0.000, 4.367, 4.367], [4.367, 0.000, 4.367], [4.367, 4.367, 0.000]],
  "species": ["Ac", "Tm", "Mg", "Mg", "Mg", "Mg"],
  "frac_coords": [[0.000, 0.000, 0.000], [0.250, 0.250, 0.250], [0.127, 0.624, 0.624], [0.624, 0.127, 0.624], [0.624, 0.624, 0.127], [0.624, 0.624, 0.624]]
}

***

{
  "formula": "Tl2AuCl",
  "functional": "GGA-PBE",
  "state": "relaxed",
  "space_group": "No. 122",
  "relative_energy_ev_per_atom": 0.114,
  "e_form_raw_ev_per_atom": -0.348,
  "e_tot_ev_per_atom": -2.81,
  "lattice_angstrom": [[-3.423, 3.423, 6.992], [3.423, -3.423, 6.992], [3.423, 3.423, -6.992]],
  "species": ["Tl", "Tl", "Tl", "Tl", "Au", "Au", "Cl", "Cl"],
  "frac_coords": [[0.105, 0.625, 0.980], [0.375, 0.355, 0.480], [0.645, 0.125, 0.020], [0.875, 0.895, 0.520], [0.000, 0.000, 0.000], [0.750, 0.250, 0.500], [0.250, 0.750, 0.500], [0.500, 0.500, 0.000]]
}

***

{
  "formula": "CaTmAg2Hg4",
  "functional": "GGA-PBE",
  "state": "relaxed",
  "space_group": "No. 166",
  "e_tot_ev_per_atom": -1.98,
  "formation_enthalpy_0k_ev_per_atom": -0.309,
  "lattice_angstrom": [[2.519, 1.454, 8.168], [-2.519, 1.454, 8.168], [0.000, -2.909, 8.168]],
  "species": ["Ca", "Tm", "Ag", "Ag", "Hg", "Hg", "Hg", "Hg"],
  "frac_coords": [[0.000, 0.000, 0.000], [0.500, 0.500, 0.500], [0.250, 0.250, 0.250], [0.750, 0.750, 0.750], [0.127, 0.127, 0.127], [0.376, 0.376, 0.376], [0.624, 0.624, 0.624], [0.873, 0.873, 0.873]]
}

***

{
  "formula": "Th3Ni2Sb",
  "functional": "GGA-PBE",
  "state": "relaxed",
  "space_group": "No. 26",
  "e_form_raw_ev_per_atom": -0.506,
  "e_tot_ev_per_atom": -6.83,
  "lattice_angstrom": [[4.109, 0.000, 0.000], [0.000, 10.051, 0.000], [0.000, 0.000, 7.309]],
  "species": ["Th", "Th", "Th", "Th", "Th", "Th", "Ni", "Ni", "Ni", "Ni", "Sb", "Sb"],
  "frac_coords": [[0.000, 0.083, 0.000], [0.000, 0.917, 0.500], [0.500, 0.220, 0.385], [0.500, 0.378, 0.797], [0.500, 0.622, 0.297], [0.500, 0.780, 0.885], [0.000, 0.191, 0.647], [0.000, 0.809, 0.147], [0.500, 0.045, 0.730], [0.500, 0.955, 0.230], [0.000, 0.404, 0.134], [0.000, 0.596, 0.634]]
}

***

{
  "formula": "Mg3ZrPt",
  "functional": "GGA-PBE",
  "state": "relaxed",
  "space_group": "No. 221",
  "relative_energy_ev_per_atom": 1.471,
  "e_tot_ev_per_atom": -2.34,
  "formation_enthalpy_0k_ev_per_atom": 1.533,
  "lattice_angstrom": [[5.364, 0.000, 0.000], [0.000, 5.364, 0.000], [0.000, 0.000, 5.364]],
  "species": ["Mg", "Mg", "Mg", "Zr", "Pt"],
  "frac_coords": [[0.000, 0.000, 0.500], [0.000, 0.500, 0.000], [0.500, 0.000, 0.000], [0.000, 0.000, 0.000], [0.500, 0.500, 0.500]]
}

***

Repeat the first record exactly.
{
  "formula": "TlCoSb3",
  "functional": "GGA-PBE",
  "state": "relaxed",
  "space_group": "No. 221",
  "relative_energy_ev_per_atom": 0.000,
  "e_form_raw_ev_per_atom": 0.291,
  "e_tot_ev_per_atom": -4.08,
  "lattice_angstrom": [[5.064, 0.000, 0.000], [0.000, 5.064, 0.000], [0.000, 0.000, 5.064]],
  "species": ["Tl", "Co", "Sb", "Sb", "Sb"],
  "frac_coords": [[0.000, 0.000, 0.000], [0.500, 0.500, 0.500], [0.000, 0.500, 0.500], [0.500, 0.000, 0.500], [0.500, 0.500, 0.000]]
}